one | DFT (PBEsol) results for an optimized crystal structure of AsI2NCl.

Computed properties:
Crystal system: tetragonal
ρ: 4568 kg/m³
Space-group type: No. 123
DOS(E_F): 0.655 states/eV/atom
Size of the total moment: 0.00 μB/cell

Cell: 3.2179 6.5362 6.5362 Å, 90.00 90.00 90.00°
Positions (direct):
N: 0.5000 0.0000 0.0000
I: 0.0000 0.0000 0.5000
I: 0.0000 0.5000 0.0000
As: 0.5000 0.5000 0.5000
Cl: 0.0000 0.0000 0.0000

two | DFT (PBEsol) results for an optimized crystal structure of AsI2NCl.

Computed properties:
Crystal system: tetragonal
ρ: 4963 kg/m³
Space-group type: No. 123
DOS(E_F): 0.907 states/eV/atom
Size of the total moment: 0.00 μB/cell

Cell: 3.5053 6.0080 6.0080 Å, 90.00 90.00 90.00°
Positions (direct):
I: 0.0000 0.5000 0.0000
I: 0.0000 0.0000 0.5000
N: 0.5000 0.0000 0.0000
As: 0.0000 0.0000 0.0000
Cl: 0.5000 0.5000 0.5000

Calculated relative energies: one 601; two 0, given in meV/atom